First-principles (GGA-PBE) data for TcSOF2 after structural relaxation, as listed in Alexandria via LeMat-Bulk.

```
TcSOF2
1.0
-3.694 -0.783 1.915
0.887 -4.140 0.018
1.666 0.371 3.365
F O Tc S
2 1 1 1
direct
0.000 0.500 0.000
0.500 0.000 0.000
0.000 0.000 0.500
0.000 0.000 0.000
0.500 0.500 0.500
```

Calculated values
* uncorrected formation energy: -0.62 eV/atom
* space group: P4/mmm, No. 123
* energy above the lowest structure with this stoichiometry: 0.000 eV per atom